First-principles (PBE-GGA) data for a relaxed Al2ZnSi crystal, as listed in the Alexandria database.

POSCAR file:
```
Al2ZnSi
1.0
-1.715 0.639 -2.148
-1.120 -2.587 0.125
-5.445 2.604 5.122
Zn Si Al
1 1 2
Direct
0.500 0.500 0.747
0.000 0.000 0.496
0.000 0.000 0.000
0.500 0.500 0.258
```

Calculated values
Its uncorrected formation energy is 49 kJ/mol of formula units.